(1)
Rb3Pr3OsO8: optimized geometry, PBE.

Calculated values
The total moment comes out at 2.0 μB per cell. The raw formation energy comes out at -32.01 eV per formula unit. Its energy is -6.676 eV per atom. Its space group is R-3m.

Lattice parameters (Å, degrees): 7.127 7.127 7.780 117.27 90.00 120.00
Atoms (fractional coordinates):
Rb 0.000 0.000 0.000
Rb 0.000 0.500 0.000
Rb 0.500 0.500 0.000
Pr 0.500 0.000 0.500
Pr 0.500 0.500 0.500
Pr 0.000 0.500 0.500
Os 0.000 0.000 0.500
O 0.272 0.544 0.317
O 0.728 0.456 0.683
O 0.798 0.596 0.336
O 0.202 0.404 0.664
O 0.798 0.038 0.336
O 0.202 0.962 0.664
O 0.240 0.038 0.336
O 0.760 0.962 0.664

=====

(2)
TmBeFe2H8: optimized geometry, PBE.

Calculated values
The total moment comes out at 0.0 μB per cell. Its energy is -4.237 eV per atom. Its space group is P-3m1.

Lattice parameters (Å, degrees): 4.379 4.379 5.608 90.00 90.00 120.00
Atoms (fractional coordinates):
Tm 0.000 0.000 0.500
Be 0.000 0.000 0.000
Fe 0.333 0.667 0.881
Fe 0.667 0.333 0.119
H 0.142 0.284 0.812
H 0.142 0.858 0.812
H 0.716 0.858 0.812
H 0.284 0.142 0.188
H 0.667 0.333 0.400
H 0.333 0.667 0.600
H 0.858 0.716 0.188
H 0.858 0.142 0.188

=====

(3)
SrZn2Pt: optimized geometry, PBE.

Calculated values
The total moment comes out at 0.0 μB per cell. Its energy is -2.855 eV per atom. Its space group is Fm-3m.

Lattice parameters (Å, degrees): 4.821 4.821 4.821 60.00 60.00 60.00
Atoms (fractional coordinates):
Sr 0.000 0.000 0.000
Zn 0.250 0.250 0.250
Zn 0.750 0.750 0.750
Pt 0.500 0.500 0.500